A.
A plane-wave DFT calculation with PBE was carried out for crystalline RbCo3Rh at its relaxed geometry.

Cell: 4.4471 4.4471 4.4471 Å, 90.00 90.00 90.00°
Space group Pm-3m (No. 221)
Symmetry-distinct sites (fractional):
Rb1 0.0000 0.0000 0.0000
Co1 0.0000 0.0000 0.5000
Rh1 0.5000 0.5000 0.5000

Output
- DOS(E_F): 1.597 states/eV per atom
- Volume: 17.59 Å³ per atom

B.
A plane-wave DFT calculation with PBE was carried out for crystalline RbCo3Rh at its relaxed geometry.

Cell: 4.7687 4.7687 4.7687 Å, 90.00 90.00 90.00°
Space group Pm-3m (No. 221)
Symmetry-distinct sites (fractional):
Rb1 0.0000 0.0000 0.0000
Co1 0.0000 0.5000 0.5000
Rh1 0.5000 0.5000 0.5000

Output
- DOS(E_F): 1.258 states/eV per atom
- Volume: 21.69 Å³ per atom

Relative energies, in meV/atom, with the most stable structure set to zero: A 1464; B 0.

A.
A plane-wave DFT calculation with PBE was carried out for crystalline RbCoRu2 at its relaxed geometry.

Cell: 4.9364 4.9364 16.5571 Å, 90.00 90.00 90.00°
Space group I4_1/amd (No. 141, origin choice 2)
Symmetry-distinct sites (fractional):
Rb1 0.0000 0.2500 0.3750
Co1 0.0000 0.2500 0.8750
Ru1 0.0000 0.0000 0.0000

Output
- DOS(E_F): 1.440 states/eV per atom
- Volume: 25.22 Å³ per atom

B.
A plane-wave DFT calculation with PBE was carried out for crystalline RbCoRu2 at its relaxed geometry.

Cell: 6.3903 6.3903 6.3903 Å, 90.00 90.00 90.00°
Space group Fm-3m (No. 225)
Symmetry-distinct sites (fractional):
Rb1 0.0000 0.0000 0.0000
Co1 0.0000 0.0000 0.5000
Ru1 0.2500 0.2500 0.2500

Output
- DOS(E_F): 2.976 states/eV per atom
- Volume: 16.31 Å³ per atom

Relative energies, in meV/atom, with the most stable structure set to zero: A 0; B 422.

A.
A plane-wave DFT calculation with PBE was carried out for crystalline RbCoS3 at its relaxed geometry.

Cell: 5.7540 5.7540 5.7540 Å, 90.00 90.00 90.00°
Space group Pm-3m (No. 221)
Symmetry-distinct sites (fractional):
Rb1 0.0000 0.0000 0.0000
Co1 0.5000 0.5000 0.5000
S1 0.0000 0.0000 0.5000

Output
- DOS(E_F): 1.929 states/eV per atom
- Volume: 38.10 Å³ per atom

B.
A plane-wave DFT calculation with PBE was carried out for crystalline RbCoS3 at its relaxed geometry.

Cell: 4.6764 4.6764 4.6764 Å, 90.00 90.00 90.00°
Space group Pm-3m (No. 221)
Symmetry-distinct sites (fractional):
Rb1 0.0000 0.0000 0.0000
Co1 0.5000 0.5000 0.5000
S1 0.0000 0.5000 0.5000

Output
- DOS(E_F): 1.452 states/eV per atom
- Volume: 20.45 Å³ per atom

C.
A plane-wave DFT calculation with PBE was carried out for crystalline RbCoS3 at its relaxed geometry.

Cell: 3.2780 8.9731 8.4643 Å, 90.00 90.00 90.00°
Space group Pmmn (No. 59, origin choice 2)
Symmetry-distinct sites (fractional):
Rb1 0.2500 0.2500 0.2394
Co1 0.2500 0.2500 0.7326
S1 0.2500 0.6306 0.4154
S2 0.2500 0.7500 0.0893

Output
- DOS(E_F): 0.650 states/eV per atom
- Volume: 24.90 Å³ per atom

Relative energies, in meV/atom, with the most stable structure set to zero: A 2082; B 196; C 0.

A.
A plane-wave DFT calculation with PBE was carried out for crystalline RbCoSb3 at its relaxed geometry.

Cell: 5.9571 5.9571 5.9571 Å, 90.00 90.00 90.00°
Space group Pm-3m (No. 221)
Symmetry-distinct sites (fractional):
Rb1 0.0000 0.0000 0.0000
Co1 0.5000 0.5000 0.5000
Sb1 0.0000 0.0000 0.5000

Output
- DOS(E_F): 3.990 states/eV per atom
- Volume: 42.28 Å³ per atom

B.
A plane-wave DFT calculation with PBE was carried out for crystalline RbCoSb3 at its relaxed geometry.

Cell: 5.1866 5.1866 5.1866 Å, 90.00 90.00 90.00°
Space group Pm-3m (No. 221)
Symmetry-distinct sites (fractional):
Rb1 0.0000 0.0000 0.0000
Co1 0.5000 0.5000 0.5000
Sb1 0.0000 0.5000 0.5000

Output
- DOS(E_F): 1.248 states/eV per atom
- Volume: 27.91 Å³ per atom

Relative energies, in meV/atom, with the most stable structure set to zero: A 1928; B 0.

A.
A plane-wave DFT calculation with PBE was carried out for crystalline RbCo3Sb at its relaxed geometry.

Cell: 4.9477 4.9477 4.9477 Å, 90.00 90.00 90.00°
Space group Pm-3m (No. 221)
Symmetry-distinct sites (fractional):
Rb1 0.0000 0.0000 0.0000
Co1 0.0000 0.5000 0.5000
Sb1 0.5000 0.5000 0.5000

Output
- DOS(E_F): 1.165 states/eV per atom
- Volume: 24.22 Å³ per atom

B.
A plane-wave DFT calculation with PBE was carried out for crystalline RbCo3Sb at its relaxed geometry.

Cell: 4.6852 4.6852 4.6852 Å, 90.00 90.00 90.00°
Space group Pm-3m (No. 221)
Symmetry-distinct sites (fractional):
Rb1 0.0000 0.0000 0.0000
Co1 0.0000 0.0000 0.5000
Sb1 0.5000 0.5000 0.5000

Output
- DOS(E_F): 1.645 states/eV per atom
- Volume: 20.57 Å³ per atom

Relative energies, in meV/atom, with the most stable structure set to zero: A 0; B 1306.

A.
A plane-wave DFT calculation with PBE was carried out for crystalline RbCoSb2Te at its relaxed geometry.

Cell: 6.0163 6.0163 6.1081 Å, 90.00 90.00 90.00°
Space group P4/mmm (No. 123)
Symmetry-distinct sites (fractional):
Rb1 0.0000 0.0000 0.0000
Co1 0.5000 0.5000 0.5000
Sb1 0.0000 0.5000 0.0000
Te1 0.0000 0.0000 0.5000

Output
- DOS(E_F): 3.558 states/eV per atom
- Volume: 44.22 Å³ per atom

B.
A plane-wave DFT calculation with PBE was carried out for crystalline RbCoSb2Te at its relaxed geometry.

Cell: 4.9504 4.9504 5.9464 Å, 90.00 90.00 90.00°
Space group P4/mmm (No. 123)
Symmetry-distinct sites (fractional):
Rb1 0.0000 0.0000 0.0000
Co1 0.5000 0.5000 0.5000
Sb1 0.0000 0.5000 0.5000
Te1 0.5000 0.5000 0.0000

Output
- DOS(E_F): 0.355 states/eV per atom
- Volume: 29.15 Å³ per atom

Relative energies, in meV/atom, with the most stable structure set to zero: A 1927; B 0.

A.
A plane-wave DFT calculation with PBE was carried out for crystalline RbCoSbTe2 at its relaxed geometry.

Cell: 5.5355 5.5355 4.8073 Å, 90.00 90.00 90.00°
Space group P4/mmm (No. 123)
Symmetry-distinct sites (fractional):
Rb1 0.0000 0.0000 0.0000
Co1 0.5000 0.5000 0.5000
Sb1 0.5000 0.5000 0.0000
Te1 0.0000 0.5000 0.5000

Output
- DOS(E_F): 1.146 states/eV per atom
- Volume: 29.46 Å³ per atom

B.
A plane-wave DFT calculation with PBE was carried out for crystalline RbCoSbTe2 at its relaxed geometry.

Cell: 6.2039 6.2039 6.0378 Å, 90.00 90.00 90.00°
Space group P4/mmm (No. 123)
Symmetry-distinct sites (fractional):
Rb1 0.0000 0.0000 0.0000
Co1 0.5000 0.5000 0.5000
Sb1 0.0000 0.0000 0.5000
Te1 0.0000 0.5000 0.0000

Output
- DOS(E_F): 2.224 states/eV per atom
- Volume: 46.48 Å³ per atom

Relative energies, in meV/atom, with the most stable structure set to zero: A 0; B 1790.

A.
A plane-wave DFT calculation with PBE was carried out for crystalline RbScCo2 at its relaxed geometry.

Cell: 6.6958 6.6958 6.6958 Å, 90.00 90.00 90.00°
Space group Fm-3m (No. 225)
Symmetry-distinct sites (fractional):
Rb1 0.0000 0.0000 0.0000
Sc1 0.0000 0.0000 0.5000
Co1 0.2500 0.2500 0.2500

Output
- DOS(E_F): 1.272 states/eV per atom
- Volume: 18.76 Å³ per atom

B.
A plane-wave DFT calculation with PBE was carried out for crystalline RbScCo2 at its relaxed geometry.

Cell: 4.9181 4.9181 17.3104 Å, 90.00 90.00 90.00°
Space group I4_1/amd (No. 141, origin choice 2)
Symmetry-distinct sites (fractional):
Rb1 0.0000 0.2500 0.3750
Sc1 0.0000 0.2500 0.8750
Co1 0.0000 0.0000 0.0000

Output
- DOS(E_F): 1.185 states/eV per atom
- Volume: 26.17 Å³ per atom

Relative energies, in meV/atom, with the most stable structure set to zero: A 205; B 0.